## one
Compound: Ba2Sr5Ca3
Source: Alexandria
Functional: GGA-PBE
Structure: optimized geometry

Cell lengths 7.3391, 13.0653, 13.0653 Å; angles 103.82, 73.69, 73.69 degrees
With the nearest neighbours (Å) after each atom.
Fractional positions:
Ba 0.0934 0.5790 0.2341  3 Ca 4.03-4.25, 4 Sr 4.21-4.47
Ba 0.5934 0.2341 0.5790  3 Ca 4.03-4.25, 4 Sr 4.21-4.47
Ba 0.9066 0.4210 0.7659  3 Ca 4.03-4.25, 4 Sr 4.21-4.47
Ba 0.4066 0.7659 0.4210  3 Ca 4.03-4.25, 4 Sr 4.21-4.47
Sr 0.4045 0.2585 0.9326  5 Ca 4.05-4.35, 2 Ba 4.34-4.47, 2 Sr 4.39
Sr 0.9045 0.9326 0.2585  5 Ca 4.05-4.35, 2 Ba 4.34-4.47, 2 Sr 4.39
Sr 0.5955 0.7415 0.0674  5 Ca 4.05-4.35, 2 Ba 4.34-4.47, 2 Sr 4.39
Sr 0.0955 0.0674 0.7415  5 Ca 4.05-4.35, 2 Ba 4.34-4.47, 2 Sr 4.39
Sr 0.4963 0.7537 0.7537  3 Ca 3.53-3.93, 3 Sr 3.64-3.67
Sr 0.5037 0.2463 0.2463  3 Ca 3.53-3.93, 3 Sr 3.64-3.67
Sr 0.7500 0.5000 0.5000  4 Sr 3.64-3.67
Sr 0.2500 0.5000 0.5000  4 Sr 3.64-3.67
Sr 0.0037 0.2463 0.2463  3 Ca 3.53-3.93, 3 Sr 3.64-3.67
Sr 0.9963 0.7537 0.7537  3 Ca 3.53-3.93, 3 Sr 3.64-3.67
Ca 0.2575 0.5738 0.9112  5 Sr 3.93-4.35, 3 Ba 4.03-4.25
Ca 0.7575 0.9112 0.5738  5 Sr 3.93-4.35, 3 Ba 4.03-4.25
Ca 0.7425 0.4262 0.0888  5 Sr 3.93-4.35, 3 Ba 4.03-4.25
Ca 0.2425 0.0888 0.4262  5 Sr 3.93-4.35, 3 Ba 4.03-4.25
Ca 0.2500 0.0000 0.0000  2 Sr 3.53, 2 Ca 3.67
Ca 0.7500 0.0000 0.0000  2 Sr 3.53, 2 Ca 3.67

Properties
SG = Ibam, No. 72
mass density = 2.55 g cm⁻³

=====

## two
Compound: Ba2Sr5Ca3
Source: Alexandria
Functional: GGA-PBE
Structure: optimized geometry

Cell lengths 4.1294, 14.0277, 10.8722 Å; angles 59.37, 79.05, 81.54 degrees
With the nearest neighbours (Å) after each atom.
Fractional positions:
Ba 0.3112 0.1024 0.2751  2 Ba 4.13, 7 Sr 4.30-4.46, 2 Ca 4.37
Ba 0.6888 0.8976 0.7249  2 Ba 4.13, 7 Sr 4.30-4.46, 2 Ca 4.37
Sr 0.0000 0.0000 0.0000  2 Ca 3.97, 4 Sr 3.99-4.13, 4 Ba 4.36
Sr 0.1002 0.2206 0.5790  5 Sr 3.99-4.17, 3 Ca 4.01-4.09, 3 Ba 4.30-4.46
Sr 0.8998 0.7794 0.4210  5 Sr 3.99-4.17, 3 Ca 4.01-4.09, 3 Ba 4.30-4.46
Sr 0.7016 0.4053 0.1916  4 Ca 4.06-4.11, 6 Sr 4.13-4.17, 2 Ba 4.36
Sr 0.2984 0.5947 0.8084  4 Ca 4.06-4.11, 6 Sr 4.13-4.17, 2 Ba 4.36
Ca 0.5000 0.5000 0.5000  6 Ca 4.05-4.13, 6 Sr 4.09-4.11
Ca 0.0968 0.6778 0.1286  5 Sr 3.97-4.11, 4 Ca 4.05-4.13, 2 Ba 4.37
Ca 0.9032 0.3222 0.8714  5 Sr 3.97-4.11, 4 Ca 4.05-4.13, 2 Ba 4.37

Properties
SG = C2/m, No. 12
mass density = 2.60 g cm⁻³

=====

Relative energies, in meV per atom, with the most stable structure set to zero: one 101; two 0.